## A
CdTeBr2 | PBE | optimized geometry

abc: 3.3994 3.3994 11.6062
angles: 90.00 90.00 90.00
With the nearest neighbours (Å) after each atom.
Space group P4/mmm (No. 123)
One atom of each set of equivalent atoms:
1 Cd 0.0000 0.0000 0.0000  8 Br 2.96
2 Te 0.0000 0.0000 0.5000  4 Te 3.40
3 Br 0.5000 0.5000 0.1494  4 Cd 2.96

=====

## B
CdTeBr2 | PBE | optimized geometry

abc: 7.6695 7.6695 7.6695
angles: 90.00 90.00 90.00
With the nearest neighbours (Å) after each atom.
Space group Fm-3m (No. 225)
One atom of each set of equivalent atoms:
1 Cd 0.0000 0.0000 0.0000  8 Br 3.32
2 Te 0.0000 0.0000 0.5000  8 Br 3.32
3 Br 0.2500 0.2500 0.2500  4 Cd 3.32, 4 Te 3.32

=====

## C
CdTeBr2 | PBE | optimized geometry

abc: 4.2217 4.2217 26.5427
angles: 90.00 90.00 120.00
With the nearest neighbours (Å) after each atom.
Space group R3m (No. 160, hexagonal axes)
One atom of each set of equivalent atoms:
1 Cd 0.0000 0.0000 0.0000  3 Br 2.87, 3 Te 3.04
2 Te 0.0000 0.0000 0.2650  3 Cd 3.04, 3 Br 3.15
3 Br 0.0000 0.0000 0.5233  3 Te 3.15
4 Br 0.0000 0.0000 0.7237  3 Cd 2.87

=====

It comes down to A, which is 1.1 kJ/mol of atoms more stable than the next structure.

=====

## A
CdTeBr2 | PBE | optimized geometry

abc: 3.6314 3.6314 8.8309
angles: 90.00 90.00 90.00
With the nearest neighbours (Å) after each atom.
Space group P4mm (No. 99)
One atom of each set of equivalent atoms:
1 Cd 0.0000 0.0000 0.0000  4 Br 3.00, 4 Te 3.30
2 Te 0.5000 0.5000 0.2350  4 Br 3.17, 4 Cd 3.30
3 Br 0.0000 0.0000 0.4464  4 Te 3.17
4 Br 0.5000 0.5000 0.8237  4 Cd 3.00

=====

## B
CdTeBr2 | PBE | optimized geometry

abc: 5.1790 4.5273 5.2474
angles: 90.00 95.39 90.00
With the nearest neighbours (Å) after each atom.
Space group P2/m (No. 10)
One atom of each set of equivalent atoms:
1 Cd 0.0000 0.0000 0.0000  4 Br 2.92
2 Te 0.5000 0.0000 0.5000  4 Br 3.02
3 Br 0.2401 0.5000 0.7597  2 Cd 2.92, 2 Te 3.02

=====

## C
CdTeBr2 | PBE | optimized geometry

abc: 3.7262 3.7262 35.9388
angles: 90.00 90.00 120.00
With the nearest neighbours (Å) after each atom.
Space group R-3m (No. 166, hexagonal axes)
One atom of each set of equivalent atoms:
1 Cd 0.0000 0.0000 0.0000  2 Br 2.41
2 Te 0.0000 0.0000 0.5000  6 Te 3.73
3 Br 0.0000 0.0000 0.0671  1 Cd 2.41

=====

## D
CdTeBr2 | PBE | optimized geometry

abc: 6.7958 8.3223 8.5820
angles: 90.00 90.00 90.00
With the nearest neighbours (Å) after each atom.
Space group Fmmm (No. 69)
One atom of each set of equivalent atoms:
1 Cd 0.0000 0.0000 0.0000  4 Br 2.99
2 Te 0.0000 0.0000 0.5000  4 Br 2.99
3 Br 0.0000 0.2500 0.2500  2 Cd 2.99, 2 Te 2.99

=====

It comes down to D, which is 5.2 kJ/mol of atoms more stable than the next structure.

=====

## A
CdTeBr2 | PBE | optimized geometry

abc: 3.9696 5.4108 5.8231
angles: 90.00 90.00 90.00
With the nearest neighbours (Å) after each atom.
Space group Pmmm (No. 47)
One atom of each set of equivalent atoms:
1 Cd 0.0000 0.0000 0.0000  2 Br 2.71
2 Te 0.5000 0.0000 0.5000  2 Br 2.71
3 Br 0.0000 0.5000 0.0000  2 Cd 2.71
4 Br 0.5000 0.5000 0.5000  2 Te 2.71

=====

## B
CdTeBr2 | PBE | optimized geometry

abc: 3.9362 8.8795 9.5355
angles: 90.00 90.00 90.00
With the nearest neighbours (Å) after each atom.
Space group Cmm2 (No. 35)
One atom of each set of equivalent atoms:
1 Cd 0.0000 0.0000 0.0000  2 Br 2.67, 2 Te 2.90
2 Te 0.0000 0.5000 0.7772  2 Br 2.83, 2 Cd 2.90
3 Br 0.0000 0.0000 0.5633  2 Te 2.83
4 Br 0.0000 0.5000 0.1900  2 Cd 2.67

=====

It comes down to B, which is 6.8 kJ/mol of atoms more stable than the next structure.